No. 1
Mn5Os4 | GGA-PBE | optimized geometry

Properties
- ΔE_f: 139 meV/atom
- Size of the total moment: 2.0 μB per cell

Cell and atoms, written as POSCAR:
```
Mn5Os4
1.0
7.201 0.000 0.000
3.600 6.236 0.000
0.000 0.000 5.178
Mn Os
10 8
Direct
0.333 0.333 0.000
0.329 0.671 0.250
0.333 0.333 0.500
0.671 0.329 0.750
0.000 0.671 0.750
0.667 0.667 0.500
0.671 0.000 0.250
0.000 0.329 0.250
0.329 0.000 0.750
0.667 0.667 0.000
0.000 0.000 0.500
0.000 0.343 0.750
0.000 0.657 0.250
0.000 0.000 0.000
0.657 0.343 0.250
0.343 0.000 0.250
0.343 0.657 0.750
0.657 0.000 0.750
```

No. 2
Ac3PrY | GGA-PBE | optimized geometry

Properties
- ΔE_f: 208 meV/atom
- Size of the total moment: 0.0 μB per cell

Cell and atoms, written as POSCAR:
```
Ac3PrY
1.0
-7.338 -0.801 2.150
5.609 -8.779 2.127
-0.216 8.894 2.577
Ac Y Pr
6 2 2
Direct
0.836 0.671 0.670
0.164 0.329 0.330
0.115 0.697 0.346
0.582 0.697 0.346
0.885 0.303 0.654
0.418 0.303 0.654
0.917 0.834 0.168
0.083 0.166 0.832
0.585 0.169 0.956
0.415 0.831 0.044
```